1.
MgCr2Pb (SCAN, PBEsol geometry); symmetry = F-43m (216); V = 70.54 Å³/f.u.; formation enthalpy at 0 K = 0.24 eV/f.u.
1.0
0.000 3.280 3.280
3.280 0.000 3.280
3.280 3.280 0.000
Mg Cr Pb
1 2 1
Direct
0.000 0.000 0.000
0.250 0.250 0.250
0.500 0.500 0.500
0.750 0.750 0.750



2.
ZrAgH3 (SCAN, PBEsol geometry); final energy = -14.46 eV/atom; symmetry = Pm-3m (221); V = 53.39 Å³/f.u.
1.0
3.765 0.000 0.000
0.000 3.765 0.000
0.000 0.000 3.765
Zr Ag H
1 1 3
Direct
0.000 0.000 0.000
0.500 0.500 0.500
0.000 0.000 0.500
0.000 0.500 0.000
0.500 0.000 0.000



3.
Ir2RuAu (SCAN, PBEsol geometry); symmetry = P4/mmm (123); V = 58.05 Å³/f.u.; formation enthalpy at 0 K = 1.61 eV/f.u.
1.0
3.868 0.000 0.000
0.000 3.868 0.000
0.000 0.000 3.880
Ir Ru Au
2 1 1
Direct
0.000 0.500 0.000
0.500 0.000 0.000
0.000 0.000 0.500
0.500 0.500 0.500



4.
Tc2OsCl (SCAN, PBEsol geometry); symmetry = Cmmm (65); V = 58.01 Å³/f.u.; energy relative to the elements, uncorrected = 662 meV/atom
1.0
1.385 -2.406 0.000
1.385 2.406 0.000
0.000 0.000 8.703
Tc Os Cl
2 1 1
Direct
0.000 0.000 0.246
0.000 0.000 0.754
0.500 0.500 0.500
0.500 0.500 0.000



Number 1: magnetic moment 0.2 Bohr magnetons per cell. Number 2: magnetic moment 0.0 Bohr magnetons per cell. Number 3: magnetic moment 2.4 Bohr magnetons per cell. Number 4: magnetic moment 1.2 Bohr magnetons per cell.